PBE ScTlHg, relaxed; density of states at the Fermi level = 3.6 states/eV per cell; DFT formation energy = -0.152 eV/atom; distance to the lowest polymorph of the same formula = 17 kJ/mol of formula units; SG = No. 164
1.0
-0.499 -2.958 -3.784
-1.481 -1.406 4.375
-6.436 2.744 -1.298
Sc Tl Hg
2 2 2
Cartesian
-5.406 -0.244 -2.886
-2.409 -1.522 -2.281
-1.869 -0.997 3.399
-6.929 0.783 -0.407
-3.878 -0.518 0.208
-4.920 0.304 2.784

=====

PBE Sc3TlHg2, relaxed; density of states at the Fermi level = 13.5 states/eV per cell; DFT formation energy = -0.372 eV/atom; SG = No. 164
1.0
-3.749 -2.470 -2.240
3.368 -2.507 2.747
-6.998 1.553 9.999
Sc Tl Hg
6 2 4
Cartesian
-1.915 -1.849 5.242
-1.943 -2.357 0.231
-5.272 1.170 7.532
-1.727 0.383 2.467
-5.436 -1.068 10.274
-5.465 -1.575 5.263
-3.669 -1.460 7.749
-3.710 -1.964 2.756
-3.499 0.776 4.999
-0.152 -2.240 2.723
-7.228 -1.184 7.782
0.000 0.000 0.000